(1)
16
Lattice="6.195 -3.585 0.000 6.195 3.585 0.000 -4.101 0.000 11.609" Properties=species:S:1:pos:R:3 comment="LaPr2ErTm4 (GGA-PBE, optimized geometry)" e_tot_ev_per_fu=-36.77 e_form_ev_per_fu=0.2 pbc="T T T"
La 3.097 1.793 0.000
La 3.097 -1.793 0.000
Pr 0.000 0.000 0.000
Pr -2.050 0.000 5.805
Pr 1.047 1.793 5.805
Pr 1.047 -1.793 5.805
Er 6.195 0.000 0.000
Er 4.145 0.000 5.805
Tm 0.023 0.000 8.698
Tm 3.118 1.787 8.700
Tm 2.077 0.000 2.918
Tm 5.171 1.787 2.909
Tm 3.118 -1.787 8.700
Tm 6.212 0.000 8.692
Tm 5.171 -1.787 2.909
Tm 8.266 0.000 2.911

---

(2)
16
Lattice="6.203 -3.596 0.000 6.203 3.596 0.000 -4.088 0.000 11.653" Properties=species:S:1:pos:R:3 comment="LaPr2Er4Tm (GGA-PBE, optimized geometry)" e_tot_ev_per_fu=-37.04 e_form_ev_per_fu=0.2 pbc="T T T"
La 0.000 0.000 0.000
La -2.044 0.000 5.826
Pr 3.101 1.798 0.000
Pr 3.101 -1.798 0.000
Pr 6.203 0.000 0.000
Pr 4.159 0.000 5.826
Er 3.136 1.796 8.711
Er 2.072 0.000 2.950
Er 0.044 0.000 8.709
Er 5.181 1.796 2.941
Er 3.136 -1.796 8.711
Er 8.274 0.000 2.943
Er 6.246 0.000 8.702
Er 5.181 -1.796 2.941
Tm 1.057 1.798 5.826
Tm 1.057 -1.798 5.826

---

(3)
12
Lattice="2.902 -5.821 0.000 2.902 5.821 0.000 0.000 0.000 11.614" Properties=species:S:1:pos:R:3 comment="LaPrErTm3 (GGA-PBE, optimized geometry)" e_tot_ev_per_fu=-27.07 e_form_ev_per_fu=0.6 pbc="T T T"
La 2.902 5.800 8.711
La 2.902 -5.800 2.904
Pr 2.902 0.000 0.000
Pr 2.902 0.000 5.807
Er 2.902 2.040 8.711
Er 2.902 -2.040 2.904
Tm 2.902 3.773 0.018
Tm 2.902 3.773 5.789
Tm 2.902 2.019 2.904
Tm 2.902 -2.019 8.711
Tm 2.902 -3.773 5.826
Tm 2.902 -3.773 11.596

---

(4)
20
Lattice="4.731 -7.646 0.000 4.731 7.646 0.000 -1.122 0.000 9.658" Properties=species:S:1:pos:R:3 comment="LaPr6Er2Tm (GGA-PBE, optimized geometry)" e_tot_ev_per_fu=-46.07 e_form_ev_per_fu=1.1 pbc="T T T"
La 3.890 7.151 7.244
La 4.451 -7.151 2.415
Pr 1.887 4.237 6.618
Pr 4.072 4.938 0.544
Pr 4.830 4.938 4.285
Pr 2.850 1.680 8.536
Pr 5.892 4.237 7.869
Pr 4.930 1.680 5.951
Pr 3.411 -1.680 3.707
Pr 2.448 -4.237 1.789
Pr 5.491 -1.680 1.122
Pr 3.511 -4.938 5.373
Pr 4.269 -4.938 9.114
Pr 6.453 -4.237 3.040
Er 1.763 0.736 5.324
Er 2.324 -0.736 0.495
Er 6.016 0.736 9.163
Er 6.577 -0.736 4.334
Tm 4.451 1.352 2.415
Tm 3.890 -1.352 7.244

---

(5)
12
Lattice="5.628 0.000 0.000 0.000 10.360 0.000 0.000 0.000 6.927" Properties=species:S:1:pos:R:3 comment="La2PrEr2Tm (GGA-PBE, optimized geometry)" e_tot_ev_per_fu=-27.80 e_form_ev_per_fu=0.4 pbc="T T T"
La 0.000 0.251 0.000
La 0.000 10.109 3.463
La 2.814 2.104 1.819
La 2.814 8.256 5.282
Pr 0.000 3.210 4.420
Pr 0.000 7.149 0.956
Er 0.000 3.891 0.994
Er 0.000 6.469 4.458
Er 2.814 1.366 5.235
Er 2.814 8.994 1.772
Tm 2.814 4.898 6.188
Tm 2.814 5.462 2.725

---

(6)
16
Lattice="7.144 0.000 0.000 0.000 7.153 0.000 0.000 0.000 9.940" Properties=species:S:1:pos:R:3 comment="LaPrEr2Tm4 (GGA-PBE, optimized geometry)" e_tot_ev_per_fu=-36.47 e_form_ev_per_fu=0.2 pbc="T T T"
La 0.000 0.000 0.000
La 3.572 0.000 0.000
Pr 0.000 0.000 4.970
Pr 0.000 3.577 0.000
Er 0.000 3.577 4.970
Er 3.572 0.000 4.970
Er 3.572 3.577 0.000
Er 3.572 3.577 4.970
Tm 1.807 1.813 2.530
Tm 1.807 1.813 7.410
Tm 1.807 5.341 2.530
Tm 1.807 5.341 7.410
Tm 5.338 1.813 2.530
Tm 5.338 1.813 7.410
Tm 5.338 5.341 2.530
Tm 5.338 5.341 7.410